VASP calculation (PBE) on ThNb2N after structural relaxation.

a = 3.2492 Å, b = 3.2492 Å, c = 24.6585 Å
α = 90.00°, β = 90.00°, γ = 120.00°
Space group R-3m (No. 166, hexagonal axes)
Asymmetric unit:
Th (0.0000, 0.0000, 0.0000) [3 per cell]
Nb (0.0000, 0.0000, 0.1211) [6 per cell]
N (0.0000, 0.0000, 0.5000) [3 per cell]

Results
* ΔE_f (raw): -0.16 eV/atom

VASP calculation (PBE) on ThNbN2 after structural relaxation.

a = 5.9059 Å, b = 3.4141 Å, c = 11.1463 Å
α = 90.00°, β = 90.00°, γ = 90.00°
Space group Pnma (No. 62)
Asymmetric unit:
Th (0.0774, 0.2500, 0.1436) [4 per cell]
Nb (0.0717, 0.7500, 0.4058) [4 per cell]
N (0.1626, 0.2500, 0.7513) [4 per cell]
N (0.2438, 0.7500, 0.9929) [4 per cell]

Results
* ΔE_f (raw): -1.41 eV/atom

VASP calculation (PBE) on Th2Nb2N7 after structural relaxation.

a = 7.2284 Å, b = 7.9467 Å, c = 5.2026 Å
α = 90.00°, β = 90.00°, γ = 90.00°
Space group Cmmm (No. 65)
Asymmetric unit:
Th (0.2448, 0.0000, 0.0000) [4 per cell]
Nb (0.0000, 0.2910, 0.5000) [4 per cell]
N (0.0000, 0.0000, 0.5000) [2 per cell]
N (0.0000, 0.5000, 0.2617) [4 per cell]
N (0.2500, 0.2500, 0.2645) [8 per cell]

Results
* ΔE_f (raw): -0.64 eV/atom

- Which formula does entry 3 have?
  Th2Nb2N7

- Look up the ΔE_f (raw) of the first one.
  -0.16 eV/atom